[1]
The following is a DFT calculation (GGA-PBE) of an optimized crystal structure of Mg3InO.

Cell lengths 4.403, 4.403, 4.403 Å; angles 90.00, 90.00, 90.00 degrees
Fractional coordinates of all 5 atoms:
1 Mg 0.000 0.000 0.500
2 Mg 0.000 0.500 0.000
3 Mg 0.500 0.000 0.000
4 In 0.500 0.500 0.500
5 O 0.000 0.000 0.000

Values from the calculation:
Its space group is No. 221. For the energy relative to the elements, uncorrected, the calculation gives -0.933 eV per atom. The energy is -3.429 eV/atom. Its spin magnetization is 0.00 μB/f.u. The crystal system is cubic. The excess energy over the best structure of this formula in the dataset comes out at 0 meV/atom.


[2]
The following is a DFT calculation (GGA-PBE) of an optimized crystal structure of DyY3Ga4.

Cell lengths 8.772, 8.772, 8.772 Å; angles 33.48, 33.48, 33.48 degrees
Fractional coordinates of all 8 atoms:
1 Dy 0.000 0.000 0.000
2 Y 0.250 0.250 0.250
3 Y 0.500 0.500 0.500
4 Y 0.750 0.750 0.750
5 Ga 0.125 0.125 0.125
6 Ga 0.375 0.375 0.375
7 Ga 0.625 0.625 0.625
8 Ga 0.875 0.875 0.875

Values from the calculation:
The value obtained for the energy of formation from the pure elements is -4.8 eV per formula unit. Its space group is No. 166. The energy is -5.109 eV/atom. Its spin magnetization is 0.00 μB/f.u. The crystal system is trigonal.


[3]
The following is a DFT calculation (GGA-PBE) of an optimized crystal structure of LaIr2Os.

Cell lengths 2.892, 2.892, 8.434 Å; angles 90.00, 90.00, 90.00 degrees
Fractional coordinates of all 4 atoms:
1 La 0.000 0.000 0.000
2 Ir 0.500 0.500 0.293
3 Ir 0.500 0.500 0.707
4 Os 0.000 0.000 0.500

Values from the calculation:
The value obtained for the energy of formation from the pure elements is 0.2 eV per formula unit. Its space group is No. 123. The energy is -8.410 eV/atom. Its spin magnetization is 0.00 μB/f.u. The crystal system is tetragonal. The excess energy over the best structure of this formula in the dataset comes out at 14 meV/atom.


[4]
The following is a DFT calculation (GGA-PBE) of an optimized crystal structure of Th4ReRh.

Cell lengths 6.336, 6.888, 7.906 Å; angles 90.00, 108.10, 90.00 degrees
Fractional coordinates of all 12 atoms:
1 Th 0.001 0.000 0.253
2 Th 0.001 0.500 0.253
3 Th 0.423 0.250 0.606
4 Th 0.430 0.250 0.108
5 Th 0.570 0.750 0.892
6 Th 0.577 0.750 0.394
7 Th 0.999 0.000 0.747
8 Th 0.999 0.500 0.747
9 Re 0.232 0.750 0.558
10 Re 0.768 0.250 0.442
11 Rh 0.224 0.750 0.057
12 Rh 0.776 0.250 0.943

Values from the calculation:
The value obtained for the energy of formation from the pure elements is -1.8 eV per formula unit. Its space group is No. 11. The energy is -8.540 eV/atom. Its spin magnetization is 0.00 μB/f.u. The crystal system is monoclinic.


energy of number 3 (LaIr2Os)?
-8.410 eV/atom